Below is Tb4PrSm2Sc after structural relaxation, with properties calculated at the PBE level.

Computed properties:
* space-group type: Pmmm (47)
* DOS(E_F): 18.73 states/eV/cell
* formation energy: 0.135 eV/atom

Structure (POSCAR):
```
Tb4PrSm2Sc
1.0
5.8924 0.0000 0.0000
0.0000 5.9045 0.0000
0.0000 0.0000 7.3756
Tb Pr Sm Sc
4 1 2 1
direct
0.0000 0.0000 0.2396 Tb
0.0000 0.0000 0.7604 Tb
0.5000 0.5000 0.2396 Tb
0.5000 0.5000 0.7604 Tb
0.0000 0.5000 0.5000 Pr
0.0000 0.5000 0.0000 Sm
0.5000 0.0000 0.5000 Sm
0.5000 0.0000 0.0000 Sc
```



Below is KTaRu2 after structural relaxation, with properties calculated at the PBE level.

Computed properties:
* space-group type: Cmm2 (35)
* offset from the most stable computed form: 1.90 eV per formula unit
* DOS(E_F): 11.08 states/eV/cell
* formation energy: 0.833 eV/atom

Structure (POSCAR):
```
KTaRu2
1.0
3.0478 0.0000 0.0000
0.0000 4.7753 0.0000
0.0000 0.0000 10.4441
K Ta Ru
2 2 4
direct
0.0000 0.0000 0.0000 K
0.5000 0.5000 0.0000 K
0.0000 0.5000 0.6804 Ta
0.5000 0.0000 0.6804 Ta
0.0000 0.0000 0.4790 Ru
0.0000 0.5000 0.2714 Ru
0.5000 0.0000 0.2714 Ru
0.5000 0.5000 0.4790 Ru
```